Entry from Alexandria via LeMat-Bulk: an optimized crystal structure of Pa2IrRh4 (PBE).

SG ... No. 65
V ... 256 Å³ per cell
ΔH_f (0 K) ... -790 meV/atom

Lattice parameters (Å, degrees): 8.078 7.919 4.007 90.00 90.00 90.00
Fractional positions:
Rh  0.749  0.500  0.500
Pa  0.000  0.732  0.500
Rh  0.750  0.750  0.000
Rh  0.250  0.250  0.000
Rh  0.750  0.250  0.000
Rh  0.251  0.500  0.500
Rh  0.250  0.750  0.000
Ir  0.500  0.500  0.000
Pa  0.000  0.268  0.500
Rh  0.751  0.000  0.500
Ir  0.000  0.000  0.000
Pa  0.500  0.232  0.500
Pa  0.500  0.768  0.500
Rh  0.249  0.000  0.500